1.
DFT (GGA-PBE) results for a relaxed structure of ErZr4Sc15.

Results
Its formation energy is 0.112 eV per atom.

a = 5.2542 Å, b = 5.2542 Å, c = 17.6643 Å
α = 90.00°, β = 90.00°, γ = 90.00°
Element x y z (fractional)
Er 0.0000 0.0000 0.0000
Zr 0.0000 0.0000 0.2177
Zr 0.0000 0.0000 0.3999
Zr 0.0000 0.0000 0.6001
Zr 0.0000 0.0000 0.7823
Sc 0.0000 0.5000 0.1140
Sc 0.0000 0.5000 0.3047
Sc 0.0000 0.5000 0.5000
Sc 0.0000 0.5000 0.6953
Sc 0.0000 0.5000 0.8860
Sc 0.5000 0.0000 0.1140
Sc 0.5000 0.0000 0.3047
Sc 0.5000 0.0000 0.5000
Sc 0.5000 0.0000 0.6953
Sc 0.5000 0.0000 0.8860
Sc 0.5000 0.5000 0.0000
Sc 0.5000 0.5000 0.2046
Sc 0.5000 0.5000 0.4007
Sc 0.5000 0.5000 0.5993
Sc 0.5000 0.5000 0.7954


2.
DFT (GGA-PBE) results for a relaxed structure of ErZr3Sc3.

Results
Its energy above the most stable polymorph in this dataset is 94.1 meV per atom. Its formation energy is 0.090 eV per atom.

a = 5.9770 Å, b = 5.9770 Å, c = 12.8070 Å
α = 96.76°, β = 96.76°, γ = 49.70°
Element x y z (fractional)
Er 0.1466 0.1466 0.0134
Er 0.8534 0.8534 0.9866
Zr 0.0128 0.0128 0.2315
Zr 0.2890 0.2890 0.8060
Zr 0.4072 0.4072 0.1565
Zr 0.5928 0.5928 0.8435
Zr 0.7110 0.7110 0.1940
Zr 0.9872 0.9872 0.7685
Sc 0.1236 0.1236 0.5660
Sc 0.2586 0.2586 0.3585
Sc 0.4265 0.4265 0.6073
Sc 0.5735 0.5735 0.3927
Sc 0.7414 0.7414 0.6415
Sc 0.8764 0.8764 0.4340


3.
DFT (GGA-PBE) results for a relaxed structure of Er2Zr2Sc7.

Results
Its energy above the most stable polymorph in this dataset is 36.7 meV per atom. Its formation energy is 0.157 eV per atom.

a = 6.3601 Å, b = 6.3601 Å, c = 7.4653 Å
α = 100.04°, β = 100.04°, γ = 102.81°
Element x y z (fractional)
Er 0.2160 0.7840 0.0000
Er 0.7840 0.2160 0.0000
Zr 0.0788 0.0788 0.3224
Zr 0.9212 0.9212 0.6776
Sc 0.0048 0.6090 0.3405
Sc 0.3038 0.3038 0.0337
Sc 0.3910 0.9952 0.6595
Sc 0.5000 0.5000 0.5000
Sc 0.6090 0.0048 0.3405
Sc 0.6962 0.6962 0.9663
Sc 0.9952 0.3910 0.6595


4.
DFT (GGA-PBE) results for a relaxed structure of Er4ZrSc.

Results
Its energy above the most stable polymorph in this dataset is 0.0 meV per atom. Its formation energy is 0.157 eV per atom.

a = 8.2699 Å, b = 8.2699 Å, c = 6.0919 Å
α = 100.38°, β = 100.38°, γ = 116.95°
Element x y z (fractional)
Er 0.0948 0.7144 0.9543
Er 0.1907 0.4045 0.6356
Er 0.2856 0.9052 0.5457
Er 0.4045 0.1907 0.1356
Er 0.5955 0.8093 0.8644
Er 0.7144 0.0948 0.4543
Er 0.8093 0.5955 0.3644
Er 0.9052 0.2856 0.0457
Zr 0.0008 0.9992 0.7500
Zr 0.9992 0.0008 0.2500
Sc 0.4020 0.5980 0.2500
Sc 0.5980 0.4020 0.7500


Number 1: total DFT energy (no corrections) -6.57 eV per atom. Number 2: total DFT energy (no corrections) -6.94 eV per atom. Number 3: total DFT energy (no corrections) -6.26 eV per atom. Number 4: total DFT energy (no corrections) -5.37 eV per atom.